Li2VP2O7 | Alexandria via LeMat-Bulk | PBE with a Hubbard U | optimized geometry; calculated total energy = -167.21 eV for the cell shown; space-group type = C2/c; magnetic moment = 6.00 μB per cell
1.0
5.136 -0.001 0.000
2.569 4.446 0.083
-2.565 -1.728 13.259
O V P Li
14 2 4 4
direct
0.750 0.750 0.750
0.403 0.976 0.598
0.904 0.217 0.097
0.096 0.783 0.903
0.717 0.403 0.598
0.976 0.717 0.597
0.283 0.596 0.402
0.217 0.476 0.098
0.249 0.250 0.250
0.596 0.024 0.402
0.476 0.903 0.098
0.782 0.524 0.902
0.523 0.096 0.902
0.024 0.283 0.403
0.500 0.500 0.000
0.000 0.000 0.500
0.710 0.709 0.630
0.210 0.210 0.130
0.790 0.790 0.870
0.290 0.290 0.370
0.131 0.132 0.896
0.367 0.367 0.604
0.868 0.868 0.104
0.632 0.632 0.396